# 1
Computed, not measured: an optimized crystal structure of Tl8SnPb2 at the PBE level of DFT.

Cell: 9.644 9.644 6.028 Å, 92.31 92.31 38.81°
Fractional positions:
Tl (0.158, 0.667, 0.922)
Tl (0.184, 0.184, 0.592)
Tl (0.333, 0.842, 0.078)
Tl (0.412, 0.412, 0.430)
Tl (0.588, 0.588, 0.570)
Tl (0.667, 0.158, 0.922)
Tl (0.816, 0.816, 0.408)
Tl (0.842, 0.333, 0.078)
Sn (0.000, 0.000, 0.500)
Pb (0.259, 0.259, 0.107)
Pb (0.741, 0.741, 0.893)

Summary:
- Total magnetic moment: 0.0 Bohr magnetons per cell
- Energy relative to the lowest polymorph listed for this composition: 4.9 kJ per mole of atoms
- Theoretical density: 10.3 g cm⁻³
- Space-group type: No. 12
- Raw total energy: -2.7019 eV/atom
- Formation energy: 61 kJ/mol of formula units

=====

# 2
Computed, not measured: an optimized crystal structure of Ta2HgMo at the PBE level of DFT.

Cell: 5.990 5.990 5.990 Å, 102.86 102.86 123.69°
Fractional positions:
Ta (0.097, 0.625, 0.972)
Ta (0.375, 0.347, 0.472)
Ta (0.653, 0.125, 0.028)
Ta (0.875, 0.903, 0.528)
Hg (0.250, 0.750, 0.500)
Hg (0.500, 0.500, 0.000)
Mo (0.000, 0.000, 0.000)
Mo (0.750, 0.250, 0.500)

Summary:
- Total magnetic moment: 0.0 Bohr magnetons per cell
- Theoretical density: 13.9 g cm⁻³
- Space-group type: No. 122
- Raw total energy: -7.8926 eV/atom
- Formation energy: 315 kJ/mol of formula units

=====

# 3
Computed, not measured: an optimized crystal structure of In2ReSb at the PBE level of DFT.

Cell: 3.511 4.875 4.915 Å, 90.00 90.00 90.00°
Fractional positions:
In (0.000, 0.000, 0.000)
In (0.500, 0.500, 0.000)
Re (0.000, 0.500, 0.500)
Sb (0.500, 0.000, 0.500)

Summary:
- Uncorrected formation energy: 0.77 eV/atom
- Total magnetic moment: 0.0 Bohr magnetons per cell
- Theoretical density: 10.6 g cm⁻³
- Space-group type: No. 47
- Raw total energy: -4.7461 eV/atom

=====

# 4
Computed, not measured: an optimized crystal structure of PmPaRh at the PBE level of DFT.

Cell: 4.815 4.234 7.429 Å, 90.00 92.60 90.00°
Fractional positions:
Pm (0.248, 0.250, 0.375)
Pm (0.752, 0.750, 0.625)
Pa (0.202, 0.750, 0.989)
Pa (0.798, 0.250, 0.011)
Rh (0.352, 0.250, 0.772)
Rh (0.648, 0.750, 0.228)

Summary:
- Total magnetic moment: 0.0 Bohr magnetons per cell
- Energy relative to the lowest polymorph listed for this composition: 0.0 kJ per mole of atoms
- Theoretical density: 10.5 g cm⁻³
- Space-group type: No. 11
- Raw total energy: -7.6570 eV/atom
- Formation energy: -132 kJ/mol of formula units

=====

# 5
Computed, not measured: an optimized crystal structure of Pm2NiH6Ir at the PBE level of DFT.

Cell: 5.345 5.345 5.345 Å, 123.99 123.99 83.21°
Fractional positions:
Pm (0.250, 0.750, 0.500)
Pm (0.750, 0.250, 0.500)
Ni (0.000, 0.000, 0.000)
H (0.210, 0.210, 0.000)
H (0.252, 0.252, 0.503)
H (0.252, 0.748, 0.000)
H (0.748, 0.252, 0.000)
H (0.748, 0.748, 0.497)
H (0.790, 0.790, 0.000)
Ir (0.500, 0.500, 0.000)

Summary:
- Total magnetic moment: 0.0 Bohr magnetons per cell
- Theoretical density: 9.0 g cm⁻³
- Space-group type: No. 139
- Raw total energy: -4.8867 eV/atom